# 1
Entry from OQMD: crystalline PmNd2As3 at its relaxed geometry (PBE).

Computed properties:
SG: P-3m1 (164)
V: 163.60 Å³/cell
calculated total energy: -37.34 eV per cell

a b c (Å): 4.256 4.256 10.430
angles (deg): 90.00 90.00 120.00
Fractional positions:
1 Pm 0.000 0.000 0.000
2 Nd 0.333 0.667 0.333
3 Nd 0.667 0.333 0.667
4 As 0.000 0.000 0.500
5 As 0.333 0.667 0.835
6 As 0.667 0.333 0.165



# 2
Entry from OQMD: crystalline Pm3NdAs4 at its relaxed geometry (PBE).

Computed properties:
SG: Cmmm (65)
V: 216.03 Å³/cell
calculated total energy: -49.80 eV per cell

a b c (Å): 7.348 7.348 4.244
angles (deg): 90.00 90.00 109.48
Fractional positions:
1 Pm 0.000 0.000 0.000
2 Pm 0.000 0.500 0.500
3 Pm 0.500 0.000 0.500
4 Nd 0.500 0.500 0.000
5 As 0.249 0.249 0.500
6 As 0.249 0.751 0.000
7 As 0.751 0.249 0.000
8 As 0.751 0.751 0.500



Look up the V of the first one.
163.60 Å³/cell